DFT (PBE) results for a geometry-optimized SmHoMgCr structure.

- E_tot (eV/atom) = -4.98
- DFT formation energy (eV/atom) = 0.1480
- SG = F-43m (216)

abc: 5.233 5.233 5.233
angles: 60.00 60.00 60.00
Fractional positions:
1 Sm 0.000 0.000 0.000
2 Ho 0.500 0.500 0.500
3 Mg 0.250 0.250 0.250
4 Cr 0.750 0.750 0.750

---

DFT (PBE) results for a geometry-optimized TbHoMgCr structure.

- E_tot (eV/atom) = -4.97
- DFT formation energy (eV/atom) = 0.1381
- SG = F-43m (216)

abc: 5.190 5.190 5.190
angles: 60.00 60.00 60.00
Fractional positions:
1 Tb 0.000 0.000 0.000
2 Ho 0.500 0.500 0.500
3 Mg 0.750 0.750 0.750
4 Cr 0.250 0.250 0.250

---

DFT (PBE) results for a geometry-optimized Ho2Mn16Cr structure.

- E_tot (eV/atom) = -8.70
- DFT formation energy (eV/atom) = 0.0058
- SG = R3m (160)

abc: 6.310 6.310 6.310
angles: 86.17 86.17 86.17
Fractional positions:
1 Ho 0.000 0.000 0.000
2 Ho 0.292 0.292 0.292
3 Mn 0.003 0.003 0.523
4 Mn 0.003 0.523 0.003
5 Mn 0.145 0.647 0.647
6 Mn 0.290 0.290 0.770
7 Mn 0.290 0.770 0.290
8 Mn 0.370 0.645 0.921
9 Mn 0.370 0.921 0.645
10 Mn 0.523 0.003 0.003
11 Mn 0.546 0.546 0.546
12 Mn 0.645 0.370 0.921
13 Mn 0.645 0.921 0.370
14 Mn 0.647 0.145 0.647
15 Mn 0.647 0.647 0.145
16 Mn 0.770 0.290 0.290
17 Mn 0.921 0.370 0.645
18 Mn 0.921 0.645 0.370
19 Cr 0.743 0.743 0.743

---

DFT (PBE) results for a geometry-optimized HoMnCr structure.

- E_tot (eV/atom) = -7.24
- DFT formation energy (eV/atom) = 0.5505
- SG = P4_12_12 (92)

abc: 6.644 6.644 5.758
angles: 90.00 90.00 90.00
Fractional positions:
1 Ho 0.230 0.230 0.000
2 Ho 0.270 0.730 0.250
3 Ho 0.730 0.270 0.750
4 Ho 0.770 0.770 0.500
5 Mn 0.192 0.808 0.750
6 Mn 0.308 0.308 0.500
7 Mn 0.692 0.692 0.000
8 Mn 0.808 0.192 0.250
9 Cr 0.068 0.068 0.500
10 Cr 0.432 0.568 0.750
11 Cr 0.568 0.432 0.250
12 Cr 0.932 0.932 0.000